1.
The following is a DFT calculation (PBE) of crystalline Sr2ZnIr at its relaxed geometry.

Calculated values
Its symmetry is Cm (8). The volume comes out at 131 Å³/f.u.

a = 4.389 Å, b = 4.389 Å, c = 8.253 Å
α = 105.37°, β = 105.37°, γ = 60.02°
Fractional coordinates of all 4 atoms:
Ir  0.136  0.136  0.170
Sr  0.720  0.720  0.922
Sr  0.885  0.885  0.420
Zn  0.469  0.469  0.171

2.
The following is a DFT calculation (PBE) of crystalline SrZrIr at its relaxed geometry.

Calculated values
Its symmetry is F-43m (216). The volume comes out at 78 Å³/f.u. The offset from the most stable computed form comes out at 0 kJ/mol of formula units.

a = 4.794 Å, b = 4.794 Å, c = 4.794 Å
α = 60.00°, β = 60.00°, γ = 60.00°
Fractional coordinates of all 3 atoms:
Ir  0.000  0.000  0.000
Sr  0.250  0.250  0.250
Zr  0.750  0.750  0.750

3.
The following is a DFT calculation (PBE) of crystalline SrZr2Ir at its relaxed geometry.

Calculated values
Its symmetry is F-43m (216). The volume comes out at 90 Å³/f.u.

a = 5.035 Å, b = 5.035 Å, c = 5.035 Å
α = 60.00°, β = 60.00°, γ = 60.00°
Fractional coordinates of all 4 atoms:
Ir  0.250  0.250  0.250
Zr  0.000  0.000  0.000
Zr  0.750  0.750  0.750
Sr  0.500  0.500  0.500

4.
The following is a DFT calculation (PBE) of crystalline TaIr at its relaxed geometry.

Calculated values
The calculation puts the energy of formation from the pure elements at -0.27 eV/atom. Its symmetry is P6_3/mmc (194). The volume comes out at 37 Å³/f.u.

a = 3.957 Å, b = 3.957 Å, c = 5.442 Å
α = 90.00°, β = 90.00°, γ = 120.00°
Fractional coordinates of all 4 atoms:
Ta  0.333  0.667  0.250
Ta  0.667  0.333  0.750
Ir  0.000  0.000  0.500
Ir  0.000  0.000  0.000

no.,total DFT energy (no corrections) (eV per atom)
1,-3.689
2,-6.368
3,-6.598
4,-10.627